(1)
This record from Alexandria describes a crystal of Li10CoNi9O20 relaxed with PBEsol. The functional is meta-GGA SCAN.

CIF file:
```
data_Li10CoNi9O20
_cell_length_a 2.895
_cell_length_b 10.891
_cell_length_c 11.470
_cell_angle_alpha 113.16
_cell_angle_beta 90.46
_cell_angle_gamma 97.54
_space_group_name_H-M_alt 'P 1'
_space_group_IT_number 1
_space_group_name_Hall 'P 1'
loop_
_atom_site_label
_atom_site_fract_x
_atom_site_fract_y
_atom_site_fract_z
Li1 0.000 0.000 0.000
Li2 0.015 0.001 0.501
Li3 0.170 0.399 0.400
Li4 0.197 0.400 0.902
Li5 0.386 0.801 0.303
Li6 0.422 0.799 0.800
Li7 0.578 0.200 0.200
Li8 0.633 0.199 0.701
Li9 0.780 0.601 0.099
Li10 0.827 0.601 0.600
Co1 0.233 0.400 0.651
Ni1 0.034 0.000 0.751
Ni2 0.168 0.400 0.150
Ni3 0.397 0.800 0.050
Ni4 0.427 0.800 0.550
Ni5 0.601 0.200 0.453
Ni6 0.601 0.200 0.951
Ni7 0.776 0.599 0.351
Ni8 0.808 0.600 0.849
Ni9 0.993 0.001 0.251
O1 0.042 0.192 0.332
O2 0.071 0.210 0.072
O3 0.134 0.192 0.830
O4 0.156 0.210 0.573
O5 0.222 0.590 0.230
O6 0.264 0.609 0.971
O7 0.326 0.608 0.472
O8 0.347 0.590 0.729
O9 0.454 0.008 0.370
O10 0.496 0.009 0.872
O11 0.533 0.991 0.130
O12 0.574 0.991 0.630
O13 0.629 0.408 0.272
O14 0.702 0.392 0.029
O15 0.733 0.393 0.538
O16 0.747 0.408 0.763
O17 0.849 0.792 0.932
O18 0.874 0.791 0.429
O19 0.946 0.810 0.170
O20 0.983 0.810 0.671
```

Values from the calculation:
- formation energy from raw total energies (meV/atom) = -1668.5
- total moment (μB/atom) = 0.23


(2)
This record from Alexandria describes a crystal of Li4CoNi3O8 relaxed with PBEsol. The functional is meta-GGA SCAN.

CIF file:
```
data_Li4CoNi3O8
_cell_length_a 9.781
_cell_length_b 5.734
_cell_length_c 5.696
_cell_angle_alpha 90.00
_cell_angle_beta 125.34
_cell_angle_gamma 90.00
_space_group_name_H-M_alt 'C 1 2/m 1'
_space_group_IT_number 12
_space_group_name_Hall '-C 2y'
loop_
_atom_site_label
_atom_site_fract_x
_atom_site_fract_y
_atom_site_fract_z
Li1 0.000 0.000 0.000
Li2 0.000 0.500 0.000
Li3 0.250 0.250 0.500
Co1 0.000 0.000 0.500
Ni1 0.000 0.500 0.500
Ni2 0.250 0.250 0.000
O1 0.009 0.238 0.739
O2 0.238 0.000 0.740
O3 0.239 0.500 0.771
```

Values from the calculation:
- formation energy from raw total energies (meV/atom) = -1691.0
- N(E_F) (states/eV per cell) = 10.63
- total moment (μB/atom) = 0.19


(3)
This record from Alexandria describes a crystal of Li3CoNi3O8 relaxed with PBEsol. The functional is meta-GGA SCAN.

CIF file:
```
data_Li3CoNi3O8
_cell_length_a 5.6452
_cell_length_b 5.6452
_cell_length_c 14.0801
_cell_angle_alpha 90.00
_cell_angle_beta 90.00
_cell_angle_gamma 120.00
_space_group_name_H-M_alt 'R -3 m'
_space_group_IT_number 166
_space_group_name_Hall '-R 3 2"'
loop_
_atom_site_label
_atom_site_fract_x
_atom_site_fract_y
_atom_site_fract_z
Li1 0.0000 0.5000 0.0000
Co1 0.0000 0.0000 0.5000
Ni1 0.0000 0.5000 0.5000
O1 0.0000 0.0000 0.2391
O2 0.0107 0.5053 0.2372
```

Values from the calculation:
- formation energy from raw total energies (meV/atom) = -1561.1
- offset from the most stable computed form (meV per atom) = 19
- N(E_F) (states/eV per cell) = 20.49
- total moment (μB/atom) = 0.13


(4)
This record from Alexandria describes a crystal of Li2CoNiP2O8 relaxed with PBEsol. The functional is meta-GGA SCAN.

CIF file:
```
data_Li2CoNiP2O8
_cell_length_a 4.665
_cell_length_b 5.836
_cell_length_c 10.017
_cell_angle_alpha 90.00
_cell_angle_beta 90.31
_cell_angle_gamma 90.00
_space_group_name_H-M_alt 'P 1 21/m 1'
_space_group_IT_number 11
_space_group_name_Hall '-P 2yb'
loop_
_atom_site_label
_atom_site_fract_x
_atom_site_fract_y
_atom_site_fract_z
Li1 0.000 0.000 0.000
Li2 0.500 0.000 0.500
Co1 0.018 0.250 0.276
Ni1 0.487 0.250 0.776
P1 0.075 0.750 0.403
P2 0.422 0.750 0.907
O1 0.203 0.750 0.546
O2 0.213 0.540 0.330
O3 0.250 0.250 0.095
O4 0.254 0.250 0.598
O5 0.280 0.541 0.833
O6 0.297 0.750 0.050
```

Values from the calculation:
- formation energy from raw total energies (meV/atom) = -2240.2
- N(E_F) (states/eV per cell) = 0.00
- total moment (μB/atom) = 0.36


(5)
This record from Alexandria describes a crystal of Li4Co3Ni3Sb2O16 relaxed with PBEsol. The functional is meta-GGA SCAN.

CIF file:
```
data_Li4Co3Ni3Sb2O16
_cell_length_a 9.989
_cell_length_b 5.682
_cell_length_c 9.372
_cell_angle_alpha 90.00
_cell_angle_beta 91.49
_cell_angle_gamma 90.00
_space_group_name_H-M_alt 'C 1 m 1'
_space_group_IT_number 8
_space_group_name_Hall 'C -2y'
loop_
_atom_site_label
_atom_site_fract_x
_atom_site_fract_y
_atom_site_fract_z
Li1 0.000 0.000 0.000
Li2 0.005 0.000 0.502
Li3 0.168 0.500 0.091
Li4 0.344 0.000 0.589
Co1 0.334 0.500 0.777
Co2 0.419 0.246 0.278
Ni1 0.089 0.254 0.778
Ni2 0.173 0.000 0.278
Sb1 0.175 0.500 0.503
Sb2 0.334 0.000 0.004
O1 0.001 0.000 0.189
O2 0.025 0.500 0.649
O3 0.084 0.240 0.395
O4 0.159 0.000 0.899
O5 0.176 0.500 0.873
O6 0.256 0.276 0.651
O7 0.264 0.230 0.157
O8 0.340 0.000 0.375
O9 0.346 0.500 0.391
O10 0.418 0.258 0.897
O11 0.486 0.000 0.161
O12 0.499 0.500 0.691
```

Values from the calculation:
- formation energy from raw total energies (meV/atom) = -1663.4
- N(E_F) (states/eV per cell) = 5.15
- total moment (μB/atom) = 0.11


(6)
This record from Alexandria describes a crystal of Li4Co3Ni3Te2O16 relaxed with PBEsol. The functional is meta-GGA SCAN.

CIF file:
```
data_Li4Co3Ni3Te2O16
_cell_length_a 10.010
_cell_length_b 5.724
_cell_length_c 9.436
_cell_angle_alpha 90.00
_cell_angle_beta 91.51
_cell_angle_gamma 90.00
_space_group_name_H-M_alt 'C 1 m 1'
_space_group_IT_number 8
_space_group_name_Hall 'C -2y'
loop_
_atom_site_label
_atom_site_fract_x
_atom_site_fract_y
_atom_site_fract_z
Li1 0.000 0.000 0.000
Li2 0.004 0.000 0.503
Li3 0.171 0.500 0.085
Li4 0.342 0.000 0.583
Co1 0.333 0.500 0.776
Co2 0.419 0.246 0.277
Ni1 0.088 0.255 0.777
Ni2 0.173 0.000 0.277
Te1 0.172 0.500 0.503
Te2 0.334 0.000 0.004
O1 0.001 0.000 0.189
O2 0.024 0.500 0.643
O3 0.084 0.242 0.395
O4 0.163 0.000 0.900
O5 0.175 0.500 0.874
O6 0.254 0.278 0.649
O7 0.268 0.232 0.152
O8 0.340 0.000 0.373
O9 0.346 0.500 0.389
O10 0.418 0.255 0.894
O11 0.487 0.000 0.163
O12 0.499 0.500 0.692
```

Values from the calculation:
- formation energy from raw total energies (meV/atom) = -1549.9
- N(E_F) (states/eV per cell) = 7.45
- total moment (μB/atom) = 0.18


(7)
This record from Alexandria describes a crystal of Li4Ti2Co3Ni3O16 relaxed with PBEsol. The functional is meta-GGA SCAN.

CIF file:
```
data_Li4Ti2Co3Ni3O16
_cell_length_a 9.803
_cell_length_b 5.645
_cell_length_c 9.155
_cell_angle_alpha 90.00
_cell_angle_beta 90.67
_cell_angle_gamma 90.00
_space_group_name_H-M_alt 'C 1 m 1'
_space_group_IT_number 8
_space_group_name_Hall 'C -2y'
loop_
_atom_site_label
_atom_site_fract_x
_atom_site_fract_y
_atom_site_fract_z
Li1 0.000 0.000 0.000
Li2 0.001 0.000 0.501
Li3 0.165 0.500 0.608
Li4 0.334 0.000 0.106
Ti1 0.170 0.500 0.001
Ti2 0.336 0.000 0.504
Co1 0.330 0.500 0.284
Co2 0.415 0.246 0.783
Ni1 0.085 0.254 0.284
Ni2 0.169 0.000 0.784
O1 0.020 0.500 0.164
O2 0.082 0.247 0.899
O3 0.164 0.000 0.398
O4 0.171 0.500 0.387
O5 0.243 0.280 0.162
O6 0.259 0.220 0.664
O7 0.335 0.500 0.896
O8 0.336 0.000 0.886
O9 0.415 0.254 0.400
O10 0.480 0.000 0.664
O11 0.496 0.500 0.191
O12 0.497 0.500 0.691
```

Values from the calculation:
- formation energy from raw total energies (meV/atom) = -1961.6
- N(E_F) (states/eV per cell) = 8.78
- total moment (μB/atom) = 0.04


(8)
This record from Alexandria describes a crystal of Li4Ti3Co3Ni2O16 relaxed with PBEsol. The functional is meta-GGA SCAN.

CIF file:
```
data_Li4Ti3Co3Ni2O16
_cell_length_a 9.705
_cell_length_b 5.709
_cell_length_c 9.308
_cell_angle_alpha 90.00
_cell_angle_beta 91.57
_cell_angle_gamma 90.00
_space_group_name_H-M_alt 'C 1 m 1'
_space_group_IT_number 8
_space_group_name_Hall 'C -2y'
loop_
_atom_site_label
_atom_site_fract_x
_atom_site_fract_y
_atom_site_fract_z
Li1 0.000 0.000 0.000
Li2 0.009 0.000 0.502
Li3 0.202 0.500 0.896
Li4 0.369 0.000 0.407
Ti1 0.114 0.251 0.218
Ti2 0.195 0.000 0.716
Co1 0.348 0.500 0.219
Co2 0.441 0.243 0.718
Ni1 0.194 0.500 0.496
Ni2 0.361 0.000 0.988
O1 0.012 0.500 0.831
O2 0.020 0.000 0.315
O3 0.023 0.000 0.816
O4 0.053 0.500 0.351
O5 0.105 0.247 0.605
O6 0.185 0.500 0.101
O7 0.189 0.000 0.106
O8 0.274 0.282 0.350
O9 0.295 0.220 0.849
O10 0.358 0.500 0.617
O11 0.362 0.000 0.609
O12 0.437 0.248 0.110
```

Values from the calculation:
- formation energy from raw total energies (meV/atom) = -2146.8
- N(E_F) (states/eV per cell) = 10.43
- total moment (μB/atom) = 0.04


(9)
This record from Alexandria describes a crystal of Li4Co3Ni3W2O16 relaxed with PBEsol. The functional is meta-GGA SCAN.

CIF file:
```
data_Li4Co3Ni3W2O16
_cell_length_a 9.952
_cell_length_b 5.714
_cell_length_c 9.298
_cell_angle_alpha 90.00
_cell_angle_beta 91.19
_cell_angle_gamma 90.00
_space_group_name_H-M_alt 'C 1 m 1'
_space_group_IT_number 8
_space_group_name_Hall 'C -2y'
loop_
_atom_site_label
_atom_site_fract_x
_atom_site_fract_y
_atom_site_fract_z
Li1 0.000 0.000 0.000
Li2 0.004 0.000 0.500
Li3 0.175 0.500 0.092
Li4 0.344 0.000 0.590
Co1 0.337 0.500 0.779
Co2 0.421 0.247 0.281
Ni1 0.091 0.254 0.779
Ni2 0.175 0.000 0.279
W1 0.174 0.500 0.503
W2 0.338 0.000 0.003
O1 0.002 0.000 0.190
O2 0.002 0.000 0.690
O3 0.028 0.500 0.643
O4 0.089 0.256 0.401
O5 0.172 0.000 0.913
O6 0.178 0.500 0.880
O7 0.255 0.283 0.650
O8 0.272 0.227 0.153
O9 0.338 0.500 0.391
O10 0.343 0.000 0.379
O11 0.415 0.248 0.900
O12 0.486 0.000 0.161
```

Values from the calculation:
- formation energy from raw total energies (meV/atom) = -1839.8
- N(E_F) (states/eV per cell) = 10.36
- total moment (μB/atom) = 0.18


(10)
This record from Alexandria describes a crystal of Li2TaCoNi relaxed with PBEsol. The functional is meta-GGA SCAN.

CIF file:
```
data_Li2TaCoNi
_cell_length_a 4.064
_cell_length_b 4.064
_cell_length_c 4.475
_cell_angle_alpha 90.00
_cell_angle_beta 90.00
_cell_angle_gamma 90.00
_space_group_name_H-M_alt 'P 4/m m m'
_space_group_IT_number 123
_space_group_name_Hall '-P 4 2'
loop_
_atom_site_label
_atom_site_fract_x
_atom_site_fract_y
_atom_site_fract_z
Li1 0.000 0.500 0.000
Ta1 0.000 0.000 0.500
Co1 0.000 0.000 0.000
Ni1 0.500 0.500 0.500
```

Values from the calculation:
- energy of formation from the pure elements (eV per atom) = 0.99
- N(E_F) (states/eV per cell) = 3.96
- total moment (μB/atom) = 0.00


(11)
This record from Alexandria describes a crystal of Li9Co7O16 relaxed with PBEsol. The functional is meta-GGA SCAN.

CIF file:
```
data_Li9Co7O16
_cell_length_a 9.723
_cell_length_b 11.225
_cell_length_c 4.883
_cell_angle_alpha 90.00
_cell_angle_beta 109.39
_cell_angle_gamma 90.00
_space_group_name_H-M_alt 'C 1 2/m 1'
_space_group_IT_number 12
_space_group_name_Hall '-C 2y'
loop_
_atom_site_label
_atom_site_fract_x
_atom_site_fract_y
_atom_site_fract_z
Li1 0.000 0.000 0.000
Li2 0.000 0.119 0.500
Li3 0.000 0.374 0.500
Li4 0.243 0.000 0.488
Li5 0.250 0.250 0.500
Co1 0.000 0.248 0.000
Co2 0.000 0.500 0.000
Co3 0.248 0.124 0.999
O1 0.118 0.375 0.213
O2 0.127 0.133 0.225
O3 0.130 0.250 0.784
O4 0.131 0.500 0.783
O5 0.140 0.000 0.774
```

Values from the calculation:
- formation energy from raw total energies (meV/atom) = -1851.3
- offset from the most stable computed form (meV per atom) = 0
- N(E_F) (states/eV per cell) = 12.84
- total moment (μB/atom) = 0.06


(12)
This record from Alexandria describes a crystal of Li9Co7O16 relaxed with PBEsol. The functional is meta-GGA SCAN.

CIF file:
```
data_Li9Co7O16
_cell_length_a 4.860
_cell_length_b 11.235
_cell_length_c 4.883
_cell_angle_alpha 90.00
_cell_angle_beta 109.36
_cell_angle_gamma 90.00
_space_group_name_H-M_alt 'P 1 2/m 1'
_space_group_IT_number 10
_space_group_name_Hall '-P 2y'
loop_
_atom_site_label
_atom_site_fract_x
_atom_site_fract_y
_atom_site_fract_z
Li1 0.000 0.000 0.000
Li2 0.000 0.118 0.500
Li3 0.000 0.373 0.500
Li4 0.500 0.000 0.500
Li5 0.500 0.248 0.500
Li6 0.500 0.500 0.500
Co1 0.000 0.247 0.000
Co2 0.000 0.500 0.000
Co3 0.500 0.123 0.000
Co4 0.500 0.374 0.000
O1 0.239 0.375 0.215
O2 0.251 0.134 0.223
O3 0.260 0.250 0.784
O4 0.261 0.500 0.784
O5 0.282 0.000 0.773
```

Values from the calculation:
- formation energy from raw total energies (meV/atom) = -1849.8
- offset from the most stable computed form (meV per atom) = 1
- N(E_F) (states/eV per cell) = 6.73
- total moment (μB/atom) = 0.06